[1]
The following is a GGA-PBE calculation of crystalline PrNd9Tm2 at its relaxed geometry, from the Alexandria database.

Calculated values
N(E_F), states/eV per atom: 1.6978
Energy of formation, eV/atom: 0.017
Total energy, eV/atom: -4.703

Structure (extended XYZ):
```
12
Lattice="5.161 0.000 0.000 0.000 5.161 0.000 0.000 0.000 15.496" Properties=species:S:1:pos:R:3 pbc="T T T"
Pr 0.000 0.000 0.000
Nd 0.000 2.581 2.633
Nd 0.000 2.581 7.748
Nd 0.000 2.581 12.863
Nd 2.581 0.000 2.633
Nd 2.581 0.000 7.748
Nd 2.581 0.000 12.863
Nd 2.581 2.581 0.000
Nd 2.581 2.581 5.206
Nd 2.581 2.581 10.290
Tm 0.000 0.000 5.194
Tm 0.000 0.000 10.302
```

***

[2]
The following is a GGA-PBE calculation of crystalline Pr2NdTm5 at its relaxed geometry, from the Alexandria database.

Calculated values
N(E_F), states/eV per atom: 1.7392
Energy of formation, eV/atom: 0.153
Total energy, eV/atom: -4.432
Polymorph energy (0 for the lowest one), kcal/mol of atoms: 0.00

Structure (extended XYZ):
```
16
Lattice="2.797 -5.892 0.000 2.797 5.892 0.000 0.000 0.000 16.002" Properties=species:S:1:pos:R:3 pbc="T T T"
Pr 2.797 3.317 10.007
Pr 2.797 3.317 13.996
Pr 2.797 -3.317 2.006
Pr 2.797 -3.317 5.995
Nd 2.797 2.894 4.001
Nd 2.797 -2.894 12.002
Tm 2.797 4.922 1.358
Tm 2.797 4.922 6.643
Tm 2.797 1.334 0.837
Tm 2.797 1.334 7.165
Tm 2.797 0.469 12.002
Tm 2.797 -0.469 4.001
Tm 2.797 -1.334 8.838
Tm 2.797 -1.334 15.166
Tm 2.797 -4.922 9.359
Tm 2.797 -4.922 14.644
```

***

[3]
The following is a GGA-PBE calculation of crystalline Pr2Nd4Tm3 at its relaxed geometry, from the Alexandria database.

Calculated values
N(E_F), states/eV per atom: 1.3721
Energy of formation, eV/atom: 0.019
Total energy, eV/atom: -4.653
Polymorph energy (0 for the lowest one), kcal/mol of atoms: 0.00

Structure (extended XYZ):
```
9
Lattice="5.724 -2.571 0.000 5.724 2.571 0.000 -3.399 0.000 10.300" Properties=species:S:1:pos:R:3 pbc="T T T"
Pr 1.150 0.000 2.318
Pr 6.899 0.000 7.981
Nd -1.108 0.000 9.147
Nd 3.441 0.000 6.853
Nd 4.608 0.000 3.447
Nd 9.158 0.000 1.153
Tm 0.007 0.000 5.698
Tm 5.724 0.000 0.000
Tm 8.042 0.000 4.601
```

***

[4]
The following is a GGA-PBE calculation of crystalline PrNd2Tm8 at its relaxed geometry, from the Alexandria database.

Calculated values
N(E_F), states/eV per atom: 1.5254
Energy of formation, eV/atom: 0.177
Total energy, eV/atom: -4.377
Polymorph energy (0 for the lowest one), kcal/mol of atoms: 3.42

Structure (extended XYZ):
```
11
Lattice="8.225 -3.295 0.000 8.225 3.295 0.000 -1.108 0.000 6.549" Properties=species:S:1:pos:R:3 pbc="T T T"
Pr 0.000 0.000 0.000
Nd 3.678 0.000 1.995
Nd 11.663 0.000 4.554
Tm 6.119 1.563 3.886
Tm 2.483 0.000 5.223
Tm 9.222 1.563 2.663
Tm 6.674 0.000 0.628
Tm 8.668 0.000 5.921
Tm 6.119 -1.563 3.886
Tm 12.858 0.000 1.326
Tm 9.222 -1.563 2.663
```